[1]
A plane-wave DFT calculation with PBEsol was carried out for a relaxed structure of KCaCd. Values from VASP.

```
&SYSTEM
  ibrav = 0, nat = 3, ntyp = 3
/
ATOMIC_SPECIES
K 39.10 K.upf
Ca 40.08 Ca.upf
Cd 112.41 Cd.upf
CELL_PARAMETERS angstrom
0.000 3.943 3.943
3.943 0.000 3.943
3.943 3.943 0.000
ATOMIC_POSITIONS angstrom
K 0.000 0.000 0.000
Ca 5.915 5.915 5.915
Cd 1.972 1.972 1.972
```

Output
Energy of formation from the pure elements (eV per atom): 0.454

[2]
A plane-wave DFT calculation with PBEsol was carried out for a relaxed structure of LiBe3. Values from VASP.

```
&SYSTEM
  ibrav = 0, nat = 4, ntyp = 2
/
ATOMIC_SPECIES
Li 6.94 Li.upf
Be 9.01 Be.upf
CELL_PARAMETERS angstrom
2.244 0.000 0.000
0.000 3.762 0.000
0.000 0.000 4.282
ATOMIC_POSITIONS angstrom
Li 0.000 0.000 0.000
Be 0.000 1.881 2.915
Be 1.122 0.000 2.154
Be 1.122 1.881 0.938
```

Output
Excess energy over the best structure of this formula in the dataset (meV per atom): 48
Energy of formation from the pure elements (eV per atom): 0.196

[3]
A plane-wave DFT calculation with PBEsol was carried out for a relaxed structure of SiHg2Os. Values from VASP.

```
&SYSTEM
  ibrav = 0, nat = 4, ntyp = 3
/
ATOMIC_SPECIES
Si 28.09 Si.upf
Hg 200.59 Hg.upf
Os 190.23 Os.upf
CELL_PARAMETERS angstrom
2.901 0.000 0.000
0.000 5.360 0.000
-0.202 0.000 4.522
ATOMIC_POSITIONS angstrom
Si 0.000 0.000 0.000
Hg 0.677 2.680 1.132
Hg 2.022 2.680 3.390
Os 1.349 0.000 2.261
```

Output
Formation energy (no corrections) (eV/atom): 0.6500

[4]
A plane-wave DFT calculation with PBEsol was carried out for a relaxed structure of LiMgAsO4. Values from VASP.

```
&SYSTEM
  ibrav = 0, nat = 28, ntyp = 4
/
ATOMIC_SPECIES
Li 6.94 Li.upf
Mg 24.30 Mg.upf
As 74.92 As.upf
O 16.00 O.upf
CELL_PARAMETERS angstrom
10.436 0.000 0.000
0.000 5.957 0.000
0.000 0.000 4.882
ATOMIC_POSITIONS angstrom
Li 0.000 0.000 0.000
Li 0.000 2.978 0.000
Li 5.218 0.000 2.441
Li 5.218 2.978 2.441
Mg 2.361 1.489 2.410
Mg 2.856 4.468 4.851
Mg 7.579 1.489 0.031
Mg 8.074 4.468 2.472
As 0.972 4.468 2.122
As 4.245 1.489 4.563
As 6.190 4.468 0.319
As 9.463 1.489 2.760
O 0.593 1.489 3.450
O 1.006 4.468 3.819
O 1.780 3.153 1.348
O 1.780 5.782 1.348
O 3.438 0.174 3.790
O 3.438 2.804 3.790
O 4.212 1.489 1.378
O 4.625 4.468 1.009
O 5.811 1.489 3.874
O 6.224 4.468 3.505
O 6.998 3.153 1.093
O 6.998 5.782 1.093
O 8.656 0.174 3.534
O 8.656 2.804 3.534
O 9.429 1.489 1.064
O 9.843 4.468 1.432
```

Output
Formation energy (no corrections) (eV/atom): -1.9986

[5]
A plane-wave DFT calculation with PBEsol was carried out for a relaxed structure of CoRuPt2. Values from VASP.

```
&SYSTEM
  ibrav = 0, nat = 4, ntyp = 3
/
ATOMIC_SPECIES
Co 58.93 Co.upf
Ru 101.07 Ru.upf
Pt 195.08 Pt.upf
CELL_PARAMETERS angstrom
2.678 0.000 0.000
0.000 2.678 0.000
0.000 0.000 7.469
ATOMIC_POSITIONS angstrom
Co 0.000 0.000 0.000
Ru 1.339 1.339 5.840
Pt 0.000 0.000 3.896
Pt 1.339 1.339 1.800
```

Output
Excess energy over the best structure of this formula in the dataset (meV per atom): 0
Energy of formation from the pure elements (eV per atom): 0.012

[6]
A plane-wave DFT calculation with PBEsol was carried out for a relaxed structure of Y2CrCl. Values from VASP.

```
&SYSTEM
  ibrav = 0, nat = 4, ntyp = 3
/
ATOMIC_SPECIES
Y 88.91 Y.upf
Cr 52.00 Cr.upf
Cl 35.45 Cl.upf
CELL_PARAMETERS angstrom
3.300 0.000 0.000
0.000 3.300 0.000
0.000 0.000 7.962
ATOMIC_POSITIONS angstrom
Y 0.000 0.000 1.778
Y 0.000 0.000 6.184
Cr 1.650 1.650 0.000
Cl 1.650 1.650 3.981
```

Output
Excess energy over the best structure of this formula in the dataset (meV per atom): 0
Formation energy (no corrections) (eV/atom): -0.3483

For reference, total DFT energy (no corrections) by record: -3.10; -13.18; -16.50; -175.11; -31.79; -27.29 eV/cell.